Entry 1:
SbPH2 | PBE | optimized geometry

Lattice parameters (Å, degrees): 5.3664 5.3664 5.3498 59.90 59.90 90.00
Last column: nearest neighbours and their distance in Å.
Sites, in units of the cell vectors:
H 0.3752 0.1250 0.2500  2 P 1.64
H 0.3748 0.6250 0.2500  2 P 1.64
H 0.8750 0.6252 0.7500  2 P 1.64
H 0.3750 0.6248 0.7500  2 P 1.64
Sb 0.0000 0.0000 0.0000  12 H 3.13-3.15, 4 P 3.28, 4 Sb 3.28
Sb 0.7500 0.2500 0.5000  12 H 3.13-3.15, 4 P 3.28, 4 Sb 3.28
P 0.2500 0.7500 0.5000  4 H 1.64
P 0.5000 0.5000 0.0000  4 H 1.64

Summary:
Energy: -3.631 eV per atom
Density of states at the Fermi level: 2.80 states/eV/cell

---

Entry 2:
InFeAs2 | PBE | optimized geometry

Lattice parameters (Å, degrees): 9.2424 9.2424 9.2424 19.60 19.60 19.60
Last column: nearest neighbours and their distance in Å.
Sites, in units of the cell vectors:
In 0.7500 0.7500 0.7500  6 In 3.15, 6 As 3.42
Fe 0.2500 0.2500 0.2500  6 As 2.44
As 0.5231 0.5231 0.5231  3 Fe 2.44
As 0.9769 0.9769 0.9769  3 Fe 2.44

Summary:
Energy: -5.087 eV per atom
Formation energy: 38 meV per atom
Density of states at the Fermi level: 3.05 states/eV/cell